First-principles (PBE) data for a relaxed structure of Sm4Tl3Ag, as listed in Alexandria via LeMat-Bulk.

Results
space-group type	No. 123
M_tot	0.1	Bohr magnetons per cell
energy of formation from the pure elements	-0.352	eV per atom
E_tot	-3.955	eV/atom

Cell lengths 3.6862, 3.6862, 16.4716 Å; angles 90.00, 90.00, 90.00 degrees
Last column: nearest neighbours and their distance in Å.
Fractional positions:
Tl (0.5000, 0.5000, 0.2409)  8 Sm 3.34-3.37, 4 Tl 3.69
Tl (0.5000, 0.5000, 0.5000)  8 Sm 3.36, 4 Tl 3.69
Tl (0.5000, 0.5000, 0.7591)  8 Sm 3.34-3.37, 4 Tl 3.69
Ag (0.5000, 0.5000, 0.0000)  8 Sm 3.22
Sm (0.0000, 0.0000, 0.8857)  4 Ag 3.22, 4 Tl 3.34
Sm (0.0000, 0.0000, 0.1143)  4 Ag 3.22, 4 Tl 3.34
Sm (0.0000, 0.0000, 0.3709)  8 Tl 3.36-3.37, 4 Sm 3.69
Sm (0.0000, 0.0000, 0.6291)  8 Tl 3.36-3.37, 4 Sm 3.69